No. 1
! Li2ScTa (PBE, optimized geometry); values from VASP
! Total energy   -4.98 eV per atom
! Total moment   0.000 μB/atom
&SYSTEM
  ibrav = 0, nat = 4, ntyp = 3
/
ATOMIC_SPECIES
Li 6.94 Li.upf
Sc 44.96 Sc.upf
Ta 180.95 Ta.upf
CELL_PARAMETERS angstrom
4.664 0.000 0.000
0.000 4.664 0.000
0.000 0.000 3.159
ATOMIC_POSITIONS angstrom
Li 0.000 2.332 0.000
Li 2.332 0.000 0.000
Sc 0.000 0.000 1.579
Ta 2.332 2.332 1.579



No. 2
! MgNpMnOs (PBE, optimized geometry); values from VASP
! Total energy   -8.55 eV per atom
! Total moment   0.101 μB/atom
&SYSTEM
  ibrav = 0, nat = 4, ntyp = 4
/
ATOMIC_SPECIES
Mg 24.30 Mg.upf
Np 237.00 Np.upf
Mn 54.94 Mn.upf
Os 190.23 Os.upf
CELL_PARAMETERS angstrom
0.000 3.252 3.252
3.252 0.000 3.252
3.252 3.252 0.000
ATOMIC_POSITIONS angstrom
Mg 0.000 0.000 0.000
Np 3.252 3.252 3.252
Mn 1.626 1.626 1.626
Os 4.878 4.878 4.878



| no. | DOS at the Fermi energy (states/eV/f.u.) |
| --- | --- |
| 1 | 3.2 |
| 2 | 8.8 |